Entry w
NdHo2Tm6: relaxed, PBE.

abc: 10.5450 10.5450 4.9804
angles: 90.00 90.00 90.00
Space group P4_2/mnm (No. 136)
Inequivalent atoms, fractional coordinates:
1 Nd 0.0000 0.0000 0.0000 [2 per cell]
2 Ho 0.1680 0.1680 0.5000 [4 per cell]
3 Tm 0.0002 0.3347 0.0000 [8 per cell]
4 Tm 0.1679 0.8321 0.5000 [4 per cell]

Computed properties:
Its density of states at the Fermi level is 22.99 states/eV per cell.

=====

Entry x
NdHo2Tm6: relaxed, PBE.

abc: 11.5604 3.4797 14.3748
angles: 90.00 103.20 90.00
Space group C2/m (No. 12)
Inequivalent atoms, fractional coordinates:
1 Nd 0.0000 0.0000 0.0000 [2 per cell]
2 Ho 0.1072 0.5000 0.2244 [4 per cell]
3 Tm 0.1223 0.0000 0.4450 [4 per cell]
4 Tm 0.1376 0.5000 0.6543 [4 per cell]
5 Tm 0.1993 0.5000 0.8945 [4 per cell]

Computed properties:
Its density of states at the Fermi level is 28.62 states/eV per cell.

=====

entry w is preferred energetically. Next in line: 71 meV per atom higher.

=====

Entry w
Nd5Ho3Tm: relaxed, PBE.

abc: 20.0771 6.3088 11.8007
angles: 90.00 123.45 90.00
Space group C2/c (No. 15)
Inequivalent atoms, fractional coordinates:
1 Nd 0.0000 0.0955 0.2500 [4 per cell]
2 Nd 0.1361 0.1632 0.6589 [8 per cell]
3 Nd 0.1808 0.3291 0.3297 [8 per cell]
4 Ho 0.0000 0.5000 0.0000 [4 per cell]
5 Ho 0.1760 0.2814 0.0264 [8 per cell]
6 Tm 0.0000 0.3969 0.7500 [4 per cell]

Computed properties:
Its density of states at the Fermi level is 48.37 states/eV per cell.

=====

Entry x
Nd5Ho3Tm: relaxed, PBE.

abc: 9.3411 9.3411 14.1917
angles: 90.00 90.00 90.00
Space group I4/mcm (No. 140)
Inequivalent atoms, fractional coordinates:
1 Nd 0.0000 0.0000 0.0000 [4 per cell]
2 Nd 0.2016 0.2984 0.1326 [16 per cell]
3 Ho 0.0000 0.0000 0.2500 [4 per cell]
4 Ho 0.1094 0.3906 0.5000 [8 per cell]
5 Tm 0.0000 0.5000 0.2500 [4 per cell]

Computed properties:
Its density of states at the Fermi level is 53.24 states/eV per cell.

=====

entry w is preferred energetically. Next in line: 43 meV per atom higher.

=====

Entry w
Nd2Ho9Tm: relaxed, PBE.

abc: 5.0175 5.0175 15.0394
angles: 90.00 90.00 90.00
Space group P4/mmm (No. 123)
Inequivalent atoms, fractional coordinates:
1 Nd 0.0000 0.0000 0.1674 [2 per cell]
2 Ho 0.0000 0.5000 0.0000 [2 per cell]
3 Ho 0.0000 0.5000 0.3360 [4 per cell]
4 Ho 0.5000 0.5000 0.1684 [2 per cell]
5 Ho 0.5000 0.5000 0.5000 [1 per cell]
6 Tm 0.0000 0.0000 0.5000 [1 per cell]

Computed properties:
Its density of states at the Fermi level is 17.15 states/eV per cell.

=====

Entry x
Nd2Ho9Tm: relaxed, PBE.

abc: 11.2181 11.2181 3.4833
angles: 90.00 90.00 120.00
Space group P6/mmm (No. 191)
Inequivalent atoms, fractional coordinates:
1 Nd 0.3333 0.6667 0.0000 [2 per cell]
2 Ho 0.0000 0.5000 0.0000 [3 per cell]
3 Ho 0.1731 0.3463 0.5000 [6 per cell]
4 Tm 0.0000 0.0000 0.0000 [1 per cell]

Computed properties:
Its density of states at the Fermi level is 20.80 states/eV per cell.

=====

entry w is preferred energetically. Next in line: 50 meV per atom higher.

=====

Entry w
Nd5Ho2Tm12: relaxed, PBE.

abc: 6.1328 9.3825 10.6204
angles: 101.04 95.63 90.01
Space group P-1 (No. 2)
Inequivalent atoms, fractional coordinates:
1 Nd 0.0000 0.0000 0.0000 [1 per cell]
2 Nd 0.1586 0.6315 0.9465 [2 per cell]
3 Nd 0.2630 0.0534 0.5788 [2 per cell]
4 Ho 0.4198 0.6818 0.5263 [2 per cell]
5 Tm 0.0545 0.2129 0.3168 [2 per cell]
6 Tm 0.1040 0.4219 0.6307 [2 per cell]
7 Tm 0.2112 0.8404 0.2630 [2 per cell]
8 Tm 0.3175 0.2631 0.8950 [2 per cell]
9 Tm 0.3692 0.4732 0.2120 [2 per cell]
10 Tm 0.4746 0.8940 0.8417 [2 per cell]

Computed properties:
Its density of states at the Fermi level is 25.45 states/eV per cell.

=====

Entry x
Nd5Ho2Tm12: relaxed, PBE.

abc: 18.2002 6.9927 10.3250
angles: 90.00 111.12 90.00
Space group C2/m (No. 12)
Inequivalent atoms, fractional coordinates:
1 Nd 0.0000 0.0000 0.0000 [2 per cell]
2 Nd 0.1816 0.5000 0.7097 [4 per cell]
3 Nd 0.1876 0.0000 0.6813 [4 per cell]
4 Ho 0.0000 0.2714 0.5000 [4 per cell]
5 Tm 0.0022 0.5000 0.1749 [4 per cell]
6 Tm 0.0248 0.0000 0.7467 [4 per cell]
7 Tm 0.1577 0.2469 0.3682 [8 per cell]
8 Tm 0.1627 0.2527 0.0213 [8 per cell]

Computed properties:
Its density of states at the Fermi level is 51.15 states/eV per cell.

=====

entry w is preferred energetically. Next in line: 157 meV per atom higher.

=====

Entry w
Nd4Ho2Tm: relaxed, PBE.

abc: 11.9814 24.2696 6.4627
angles: 90.00 90.00 90.00
Space group Fdd2 (No. 43)
Inequivalent atoms, fractional coordinates:
1 Nd 0.0524 0.4300 0.0000 [16 per cell]
2 Nd 0.0698 0.3563 0.4683 [16 per cell]
3 Ho 0.0243 0.2843 0.9442 [16 per cell]
4 Tm 0.0000 0.0000 0.0039 [8 per cell]

Computed properties:
Its density of states at the Fermi level is 80.86 states/eV per cell.

=====

Entry x
Nd4Ho2Tm: relaxed, PBE.

abc: 6.2472 6.6568 11.5902
angles: 90.00 104.57 90.00
Space group P2_1/m (No. 11)
Inequivalent atoms, fractional coordinates:
1 Nd 0.0464 0.2500 0.3665 [2 per cell]
2 Nd 0.1506 0.2500 0.9512 [2 per cell]
3 Nd 0.3541 0.5114 0.2158 [4 per cell]
4 Ho 0.2883 0.7500 0.9213 [2 per cell]
5 Ho 0.3884 0.7500 0.5064 [2 per cell]
6 Tm 0.1482 0.2500 0.6640 [2 per cell]

Computed properties:
Its density of states at the Fermi level is 21.00 states/eV per cell.

=====

entry w is preferred energetically. Next in line: 67 meV per atom higher.